Below is a geometry-optimized CaCd2 structure, with properties calculated at the GGA-PBEsol level.

Properties
**Calculated total energy**: -1.787 eV per atom
**Formation energy from the elements**: -0.8 eV/f.u.

Lattice parameters (Å, degrees): 6.317 5.001 9.212 90.00 90.00 90.00
Space group Pnma (No. 62)
Symmetry-distinct sites (fractional):
Ca 0.181 0.250 0.081 x4
Cd 0.034 0.250 0.729 x4
Cd 0.173 0.250 0.411 x4